LiSe3 | meta-GGA SCAN | PBEsol geometry

Lattice parameters (Å, degrees): 3.8722 3.8722 6.1036 108.49 108.49 90.00
With the nearest neighbours (Å) after each atom.
Element x y z (fractional)
1 Se 0.5000 0.5000 0.0000  2 Se 2.61, 4 Li 2.74
2 Se 0.7395 0.7395 0.4791  5 Se 2.61-2.75, 1 Li 2.84
3 Se 0.2605 0.2605 0.5209  5 Se 2.61-2.75, 1 Li 2.84
4 Li 0.0000 0.0000 0.0000  6 Se 2.74-2.84

V	20.4	Å³/atom
total magnetization	0.0000	μB per atom
excess energy over the best structure of this formula in the dataset	47	meV/atom
Fermi-level density of states	0.179	states/eV/atom
DFT total energy	-16.0932	eV/atom
uncorrected formation energy	-0.4369	eV per atom

Nd2Ni17 | meta-GGA SCAN | PBEsol geometry

Lattice parameters (Å, degrees): 7.9416 8.2301 8.2301 120.00 90.00 90.00
With the nearest neighbours (Å) after each atom.
Element x y z (fractional)
1 Ni 0.5196 0.6670 0.8335  9 Ni 2.38-2.57
2 Ni 0.2500 0.6252 0.6716  8 Ni 2.32-2.52
3 Ni 0.0196 0.3330 0.1665  9 Ni 2.38-2.57
4 Ni 0.0196 0.8335 0.1665  9 Ni 2.38-2.57
5 Ni 0.2500 0.3284 0.3748  8 Ni 2.32-2.52
6 Nd 0.2500 0.0000 0.0000  18 Ni 2.91-3.20
7 Ni 0.9804 0.1665 0.3330  9 Ni 2.38-2.57
8 Ni 0.2500 0.3284 0.9536  8 Ni 2.32-2.52
9 Nd 0.7500 0.0000 0.0000  18 Ni 2.91-3.20
10 Ni 0.5196 0.1665 0.3330  9 Ni 2.38-2.57
11 Ni 0.7500 0.3748 0.0464  8 Ni 2.32-2.52
12 Nd 0.7500 0.3333 0.6667  20 Ni 2.81-3.10
13 Ni 0.2500 0.0464 0.6716  8 Ni 2.32-2.52
14 Ni 0.7500 0.6716 0.6252  8 Ni 2.32-2.52
15 Ni 0.6032 0.6667 0.3333  7 Ni 2.33-2.57
16 Ni 0.2500 0.6252 0.9536  8 Ni 2.32-2.52
17 Ni 0.4804 0.3330 0.1665  9 Ni 2.38-2.57
18 Ni 0.0000 0.5000 0.0000  10 Ni 2.35-2.51
19 Ni 0.9804 0.1665 0.8335  9 Ni 2.38-2.57
20 Nd 0.2500 0.6667 0.3333  20 Ni 2.81-3.10
21 Ni 0.0000 0.0000 0.5000  10 Ni 2.35-2.51
22 Ni 0.7500 0.9536 0.3284  8 Ni 2.32-2.52
23 Ni 0.7500 0.9536 0.6252  8 Ni 2.32-2.52
24 Ni 0.5196 0.1665 0.8335  9 Ni 2.38-2.57
25 Ni 0.3968 0.3333 0.6667  7 Ni 2.33-2.57
26 Ni 0.8968 0.6667 0.3333  7 Ni 2.33-2.57
27 Ni 0.0000 0.5000 0.5000  10 Ni 2.35-2.51
28 Ni 0.1032 0.3333 0.6667  7 Ni 2.33-2.57
29 Ni 0.4804 0.8335 0.6670  9 Ni 2.38-2.57
30 Ni 0.0196 0.8335 0.6670  9 Ni 2.38-2.57
31 Ni 0.5000 0.5000 0.5000  10 Ni 2.35-2.51
32 Ni 0.7500 0.6716 0.0464  8 Ni 2.32-2.52
33 Ni 0.4804 0.8335 0.1665  9 Ni 2.38-2.57
34 Ni 0.2500 0.0464 0.3748  8 Ni 2.32-2.52
35 Ni 0.5000 0.5000 0.0000  10 Ni 2.35-2.51
36 Ni 0.9804 0.6670 0.8335  9 Ni 2.38-2.57
37 Ni 0.7500 0.3748 0.3284  8 Ni 2.32-2.52
38 Ni 0.5000 0.0000 0.5000  10 Ni 2.35-2.51

V	12.3	Å³/atom
total magnetization	0.4860	μB per atom
energy relative to the elements	-0.14	eV per atom
Fermi-level density of states	0.912	states/eV/atom
DFT total energy	-19.2027	eV/atom

LiAgPd2Cl | meta-GGA SCAN | PBEsol geometry

Lattice parameters (Å, degrees): 4.7757 4.9869 4.9869 90.00 90.00 90.00
With the nearest neighbours (Å) after each atom.
Element x y z (fractional)
1 Li 0.5000 0.5000 0.5000  8 Pd 3.45, 4 Cl 3.53
2 Ag 0.0000 0.0000 0.0000  2 Cl 2.39, 4 Pd 2.49
3 Pd 0.0000 0.0000 0.5000  2 Ag 2.49
4 Cl 0.5000 0.0000 0.0000  2 Ag 2.39
5 Pd 0.0000 0.5000 0.0000  2 Ag 2.49

V	23.8	Å³/atom
total magnetization	0.0000	μB per atom
Fermi-level density of states	0.524	states/eV/atom
DFT total energy	-20.9532	eV/atom
uncorrected formation energy	0.5035	eV per atom

Zn3CuIr | meta-GGA SCAN | PBEsol geometry

Lattice parameters (Å, degrees): 4.2966 4.2966 4.2966 90.00 90.00 90.00
With the nearest neighbours (Å) after each atom.
Element x y z (fractional)
1 Zn 0.0000 0.5000 0.0000  2 Cu 2.15
2 Cu 0.0000 0.0000 0.0000  6 Zn 2.15
3 Ir 0.5000 0.5000 0.5000  12 Zn 3.04
4 Zn 0.5000 0.0000 0.0000  2 Cu 2.15
5 Zn 0.0000 0.0000 0.5000  2 Cu 2.15

V	15.9	Å³/atom
total magnetization	0.0000	μB per atom
energy relative to the elements	0.82	eV per atom
Fermi-level density of states	0.446	states/eV/atom
DFT total energy	-24.5462	eV/atom

ZnRe2Ni | meta-GGA SCAN | PBEsol geometry

Lattice parameters (Å, degrees): 2.6112 4.1433 5.0049 90.00 101.03 90.00
With the nearest neighbours (Å) after each atom.
Element x y z (fractional)
1 Re 0.7487 0.5000 0.2506  3 Ni 2.53-2.74, 4 Re 2.58-2.61, 4 Zn 2.75-2.79
2 Zn 0.3304 0.0000 0.5138  2 Ni 2.35, 1 Re 2.58, 2 Zn 2.61
3 Ni 0.4253 0.5000 0.7409  2 Zn 2.35, 1 Re 2.53, 2 Ni 2.61
4 Re 0.9956 0.0000 0.9947  3 Zn 2.58-2.71, 4 Re 2.58-2.61, 4 Ni 2.72-2.78

V	13.3	Å³/atom
total magnetization	0.0002	μB per atom
energy relative to the elements	0.09	eV per atom
Fermi-level density of states	0.739	states/eV/atom
DFT total energy	-42.8784	eV/atom

CsMo3Cl7 | meta-GGA SCAN | PBEsol geometry

Lattice parameters (Å, degrees): 9.7053 9.7053 14.5663 90.00 90.00 120.00
With the nearest neighbours (Å) after each atom.
Element x y z (fractional)
1 Cl 0.6265 0.9568 0.7158  3 Mo 2.45-2.47
2 Cl 0.3303 0.3735 0.7158  3 Mo 2.45-2.47
3 Cs 0.3333 0.6667 0.2900  12 Cl 3.63-3.83
4 Cs 0.0000 0.0000 0.0343  6 Cl 3.46
5 Mo 0.3340 0.8216 0.7136  5 Cl 2.42-2.47, 4 Mo 2.58-2.60
6 Cl 0.9592 0.6496 0.9469  1 Mo 2.42
7 Mo 0.5124 0.1784 0.2136  5 Cl 2.42-2.47, 4 Mo 2.58-2.60
8 Mo 0.8216 0.3340 0.2136  5 Cl 2.42-2.47, 4 Mo 2.58-2.60
9 Mo 0.5134 0.3359 0.3586  5 Cl 2.42-2.47, 4 Mo 2.58-2.60
10 Mo 0.4866 0.8225 0.8586  5 Cl 2.42-2.47, 4 Mo 2.58-2.60
11 Cl 0.9550 0.3266 0.3564  3 Mo 2.45-2.47
12 Cl 0.6734 0.6284 0.3564  3 Mo 2.45-2.47
13 Cs 0.0000 0.0000 0.5343  6 Cl 3.46
14 Mo 0.1784 0.5124 0.7136  5 Cl 2.42-2.47, 4 Mo 2.58-2.60
15 Cl 0.3464 0.0388 0.6254  1 Mo 2.42
16 Cl 0.3266 0.9550 0.8564  3 Mo 2.45-2.47
17 Cl 0.0408 0.6904 0.4469  1 Mo 2.42
18 Cs 0.6667 0.3333 0.7900  12 Cl 3.63-3.83
19 Cl 0.3333 0.6667 0.5813  3 Mo 2.44
20 Cl 0.3076 0.9612 0.1254  1 Mo 2.42
21 Cl 0.3096 0.3504 0.4469  1 Mo 2.42
22 Mo 0.1775 0.6641 0.8586  5 Cl 2.42-2.47, 4 Mo 2.58-2.60
23 Cl 0.3504 0.3096 0.9469  1 Mo 2.42
24 Cl 0.6667 0.3333 0.0813  3 Mo 2.44
25 Mo 0.8225 0.4866 0.3586  5 Cl 2.42-2.47, 4 Mo 2.58-2.60
26 Cl 0.0388 0.3464 0.1254  1 Mo 2.42
27 Mo 0.4876 0.6660 0.7136  5 Cl 2.42-2.47, 4 Mo 2.58-2.60
28 Cl 0.9568 0.6265 0.2158  3 Mo 2.45-2.47
29 Mo 0.6660 0.4876 0.2136  5 Cl 2.42-2.47, 4 Mo 2.58-2.60
30 Cl 0.6904 0.0408 0.9469  1 Mo 2.42
31 Cl 0.6667 0.3333 0.4910  3 Mo 2.44
32 Cl 0.6496 0.9592 0.4469  1 Mo 2.42
33 Cl 0.6924 0.6536 0.6254  1 Mo 2.42
34 Mo 0.6641 0.1775 0.3586  5 Cl 2.42-2.47, 4 Mo 2.58-2.60
35 Cl 0.6284 0.6734 0.8564  3 Mo 2.45-2.47
36 Cl 0.3333 0.6667 0.9910  3 Mo 2.44
37 Cl 0.3735 0.3303 0.2158  3 Mo 2.45-2.47
38 Cl 0.0432 0.6697 0.7158  3 Mo 2.45-2.47
39 Cl 0.9612 0.3076 0.6254  1 Mo 2.42
40 Cl 0.6697 0.0432 0.2158  3 Mo 2.45-2.47
41 Cl 0.3716 0.0450 0.3564  3 Mo 2.45-2.47
42 Cl 0.0450 0.3716 0.8564  3 Mo 2.45-2.47
43 Cl 0.6536 0.6924 0.1254  1 Mo 2.42
44 Mo 0.3359 0.5134 0.8586  5 Cl 2.42-2.47, 4 Mo 2.58-2.60

V	27.0	Å³/atom
total magnetization	0.0000	μB per atom
Fermi-level density of states	0.000	states/eV/atom
DFT total energy	-19.3300	eV/atom
uncorrected formation energy	-1.3017	eV per atom